No. 1
DFT (PBE) results for a relaxed structure of NpSc3As4.

Cell lengths 7.893, 11.120, 3.933 Å; angles 90.00, 90.00, 90.00 degrees
Space group Cmmm (No. 65)
Symmetry-distinct sites (fractional):
Np1 0.000 0.000 0.000 [2 per cell]
Sc1 0.000 0.500 0.000 [2 per cell]
Sc2 0.250 0.250 0.500 [4 per cell]
As1 0.000 0.253 0.000 [4 per cell]
As2 0.241 0.500 0.500 [4 per cell]

Values from the calculation:
Density in g cm⁻³: 6.46
Crystal system: orthorhombic
Formation energy from the elements in eV/atom: -1.188
Total energy in eV per atom: -7.5045
Magnetization in μB per formula unit: 3.69

No. 2
DFT (PBE) results for a relaxed structure of NpSc4As5.

Cell lengths 3.915, 5.569, 19.650 Å; angles 90.00, 90.00, 90.00 degrees
Space group Immm (No. 71)
Symmetry-distinct sites (fractional):
Np1 0.000 0.000 0.000 [2 per cell]
Sc1 0.000 0.000 0.204 [4 per cell]
Sc2 0.000 0.000 0.398 [4 per cell]
As1 0.000 0.500 0.000 [2 per cell]
As2 0.000 0.500 0.200 [4 per cell]
As3 0.000 0.500 0.395 [4 per cell]

Values from the calculation:
Density in g cm⁻³: 6.14
Crystal system: orthorhombic
Formation energy from the elements in eV/atom: -1.224
Total energy in eV per atom: -7.3750
Magnetization in μB per formula unit: 3.66

No. 3
DFT (PBE) results for a relaxed structure of Np2ScAs3.

Cell lengths 8.036, 11.398, 24.224 Å; angles 90.00, 90.00, 90.00 degrees
Space group Fddd (No. 70, origin choice 2)
Symmetry-distinct sites (fractional):
Np1 0.125 0.125 0.043 [16 per cell]
Np2 0.125 0.125 0.374 [16 per cell]
Sc1 0.125 0.125 0.542 [16 per cell]
As1 0.114 0.375 0.875 [16 per cell]
As2 0.120 0.371 0.710 [32 per cell]

Values from the calculation:
Density in g cm⁻³: 8.91
Crystal system: orthorhombic
Formation energy from the elements in eV/atom: -0.873
Total energy in eV per atom: -8.5662
Magnetization in μB per formula unit: 0.00

No. 4
DFT (PBE) results for a relaxed structure of SmNp2ScAs4.

Cell lengths 7.062, 4.078, 7.079 Å; angles 90.00, 109.40, 90.00 degrees
Space group P2/m (No. 10)
Symmetry-distinct sites (fractional):
Sm1 0.000 0.000 0.000 [1 per cell]
Np1 0.000 0.500 0.500 [1 per cell]
Np2 0.500 0.000 0.500 [1 per cell]
Sc1 0.500 0.500 0.000 [1 per cell]
As1 0.261 0.500 0.252 [2 per cell]
As2 0.262 0.000 0.755 [2 per cell]

Values from the calculation:
Density in g cm⁻³: 8.37
Crystal system: monoclinic
Formation energy from the elements in eV/atom: -1.041
Total energy in eV per atom: -7.9828
Magnetization in μB per formula unit: 7.60

No. 5
DFT (PBE) results for a relaxed structure of SmNpSc2As4.

Cell lengths 6.938, 4.020, 6.983 Å; angles 90.00, 109.42, 90.00 degrees
Space group P2/m (No. 10)
Symmetry-distinct sites (fractional):
Sm1 0.000 0.000 0.000 [1 per cell]
Np1 0.000 0.500 0.500 [1 per cell]
Sc1 0.500 0.000 0.500 [1 per cell]
Sc2 0.500 0.500 0.000 [1 per cell]
As1 0.266 0.000 0.751 [2 per cell]
As2 0.267 0.500 0.261 [2 per cell]

Values from the calculation:
Density in g cm⁻³: 7.02
Crystal system: monoclinic
Formation energy from the elements in eV/atom: -1.219
Total energy in eV per atom: -7.3339
Magnetization in μB per formula unit: 3.76

No. 6
DFT (PBE) results for a relaxed structure of Sm2NpScAs4.

Cell lengths 7.092, 4.104, 7.115 Å; angles 90.00, 109.28, 90.00 degrees
Space group P2/m (No. 10)
Symmetry-distinct sites (fractional):
Sm1 0.000 0.000 0.000 [1 per cell]
Sm2 0.500 0.500 0.000 [1 per cell]
Np1 0.000 0.500 0.500 [1 per cell]
Sc1 0.500 0.000 0.500 [1 per cell]
As1 0.251 0.000 0.737 [2 per cell]
As2 0.260 0.500 0.268 [2 per cell]

Values from the calculation:
Density in g cm⁻³: 7.50
Crystal system: monoclinic
Formation energy from the elements in eV/atom: -1.253
Total energy in eV per atom: -7.1663
Magnetization in μB per formula unit: 3.70

No. 7
DFT (PBE) results for a relaxed structure of Sr2NpScAs4.

Cell lengths 7.167, 4.213, 7.446 Å; angles 90.00, 108.81, 90.00 degrees
Space group P2/m (No. 10)
Symmetry-distinct sites (fractional):
Sr1 0.000 0.000 0.000 [1 per cell]
Sr2 0.500 0.500 0.000 [1 per cell]
Np1 0.000 0.500 0.500 [1 per cell]
Sc1 0.500 0.000 0.500 [1 per cell]
As1 0.239 0.000 0.711 [2 per cell]
As2 0.262 0.500 0.291 [2 per cell]

Values from the calculation:
Density in g cm⁻³: 5.90
Crystal system: monoclinic
Formation energy from the elements in eV/atom: -1.028
Total energy in eV per atom: -6.1819
Magnetization in μB per formula unit: 2.01

No. 8
DFT (PBE) results for a relaxed structure of TbNpSc2As4.

Cell lengths 6.908, 3.999, 6.944 Å; angles 90.00, 109.39, 90.00 degrees
Space group P2/m (No. 10)
Symmetry-distinct sites (fractional):
Tb1 0.000 0.000 0.000 [1 per cell]
Np1 0.000 0.500 0.500 [1 per cell]
Sc1 0.500 0.000 0.500 [1 per cell]
Sc2 0.500 0.500 0.000 [1 per cell]
As1 0.264 0.000 0.753 [2 per cell]
As2 0.264 0.500 0.258 [2 per cell]

Values from the calculation:
Density in g cm⁻³: 7.21
Crystal system: monoclinic
Formation energy from the elements in eV/atom: -1.228
Total energy in eV per atom: -7.3324
Magnetization in μB per formula unit: 3.75